(1)
# CoReN2

Crystalline CoReN2 at its relaxed geometry (PBE, Alexandria).

Cell: 2.8156 2.8156 11.4059 Å, 90.00 90.00 120.00°
Space group P6_3/mmc (No. 194)
Symmetry-distinct sites (fractional):
Co 0.0000 0.0000 0.0000
Re 0.3333 0.6667 0.2500
N 0.3333 0.6667 0.6343

Results
The calculation puts the theoretical density at 11585 kg/m3. Its uncorrected formation energy is 0.38 eV per atom. The calculation puts the distance to the lowest polymorph of the same formula at 222 meV/atom.

=====

(2)
# Pr3SbSeBr

Crystalline Pr3SbSeBr at its relaxed geometry (PBE, Alexandria).

Cell: 8.3123 4.3875 10.6692 Å, 90.00 110.15 90.00°
Space group P2_1/m (No. 11)
Symmetry-distinct sites (fractional):
Pr 0.1808 0.2500 0.1108
Pr 0.1830 0.2500 0.4903
Pr 0.3137 0.7500 0.8308
Sb 0.0076 0.2500 0.7435
Se 0.4196 0.7500 0.1204
Br 0.4555 0.7500 0.6053

Results
The calculation puts the theoretical density at 6395 kg/m3. Its uncorrected formation energy is -1.36 eV per atom.

=====

(3)
# Na4Ac3BeO8

Crystalline Na4Ac3BeO8 at its relaxed geometry (PBE, Alexandria).

Cell: 13.2978 6.8277 6.7799 Å, 90.00 119.68 90.00°
Space group C2/m (No. 12)
Symmetry-distinct sites (fractional):
Na 0.0000 0.0000 0.0000
Na 0.0000 0.5000 0.0000
Na 0.2500 0.2500 0.5000
Ac 0.0000 0.0000 0.5000
Ac 0.2500 0.2500 0.0000
Be 0.0000 0.5000 0.5000
O 0.0310 0.3144 0.7165
O 0.1934 0.0000 0.1861
O 0.2174 0.0000 0.7108

Results
The calculation puts the theoretical density at 5651 kg/m3. Its uncorrected formation energy is -2.14 eV per atom.

=====

(4)
# TiGePd3

Crystalline TiGePd3 at its relaxed geometry (PBE, Alexandria).

Cell: 7.0379 6.4237 8.6758 Å, 90.00 125.13 90.00°
Space group P2_1/c (No. 14)
Symmetry-distinct sites (fractional):
Ti 0.1160 0.2366 0.0588
Ge 0.2926 0.5841 0.5096
Pd 0.0671 0.6013 0.7870
Pd 0.3175 0.5893 0.1976
Pd 0.3941 0.1963 0.4450

Results
As for the energy of formation from the pure elements: -2.11 eV per formula unit. The calculation puts the theoretical density at 9105 kg/m3. The calculation puts the distance to the lowest polymorph of the same formula at 0 meV/atom.